No. 1
# Na3VMo, optimized geometry, DFT GGA-PBE
data_Na3VMo
_chemical_formula_sum 'Na3 V1 Mo1'
_cell_length_a 5.666
_cell_length_b 5.666
_cell_length_c 5.666
_cell_angle_alpha 90.00
_cell_angle_beta 90.00
_cell_angle_gamma 90.00
_space_group_name_H-M_alt 'P m -3 m'
_space_group_IT_number 221
_space_group_name_Hall '-P 4 2 3'
loop_
_atom_site_label
_atom_site_type_symbol
_atom_site_fract_x
_atom_site_fract_y
_atom_site_fract_z
Na1 Na 0.000 0.000 0.500
V1 V 0.000 0.000 0.000
Mo1 Mo 0.500 0.500 0.500
# DOS(E_F)   1.694 states/eV per atom
# Density   1.97 g/cm³
# Energy relative to the lowest polymorph listed for this composition   0.0 meV per atom
# Energy of formation from the pure elements   1.851 eV per atom
# Size of the total moment   9.78 μB per cell


No. 2
# NaV3Mo, optimized geometry, DFT GGA-PBE
data_NaV3Mo
_chemical_formula_sum 'Na1 V3 Mo1'
_cell_length_a 4.541
_cell_length_b 4.541
_cell_length_c 4.541
_cell_angle_alpha 90.00
_cell_angle_beta 90.00
_cell_angle_gamma 90.00
_space_group_name_H-M_alt 'P m -3 m'
_space_group_IT_number 221
_space_group_name_Hall '-P 4 2 3'
loop_
_atom_site_label
_atom_site_type_symbol
_atom_site_fract_x
_atom_site_fract_y
_atom_site_fract_z
Na1 Na 0.000 0.000 0.000
V1 V 0.000 0.000 0.500
Mo1 Mo 0.500 0.500 0.500
# DOS(E_F)   1.624 states/eV per atom
# Density   4.82 g/cm³
# Energy of formation from the pure elements   2.265 eV per atom
# Size of the total moment   7.54 μB per cell


No. 3
# NaYV2Mo, optimized geometry, DFT GGA-PBE
data_NaYV2Mo
_chemical_formula_sum 'Na1 Y1 V2 Mo1'
_cell_length_a 4.593
_cell_length_b 4.593
_cell_length_c 5.314
_cell_angle_alpha 90.00
_cell_angle_beta 90.00
_cell_angle_gamma 90.00
_space_group_name_H-M_alt 'P 4/m m m'
_space_group_IT_number 123
_space_group_name_Hall '-P 4 2'
loop_
_atom_site_label
_atom_site_type_symbol
_atom_site_fract_x
_atom_site_fract_y
_atom_site_fract_z
Na1 Na 0.000 0.000 0.000
Y1 Y 0.500 0.500 0.000
V1 V 0.000 0.500 0.500
Mo1 Mo 0.000 0.000 0.500
# DOS(E_F)   0.834 states/eV per atom
# Density   4.59 g/cm³
# Energy of formation from the pure elements   0.958 eV per atom
# Size of the total moment   2.11 μB per cell


No. 4
# NaMoW2, optimized geometry, DFT GGA-PBE
data_NaMoW2
_chemical_formula_sum 'Na4 Mo4 W8'
_cell_length_a 6.416
_cell_length_b 6.416
_cell_length_c 6.416
_cell_angle_alpha 90.00
_cell_angle_beta 90.00
_cell_angle_gamma 90.00
_space_group_name_H-M_alt 'F m -3 m'
_space_group_IT_number 225
_space_group_name_Hall '-F 4 2 3'
loop_
_atom_site_label
_atom_site_type_symbol
_atom_site_fract_x
_atom_site_fract_y
_atom_site_fract_z
Na1 Na 0.000 0.000 0.000
Mo1 Mo 0.000 0.000 0.500
W1 W 0.250 0.250 0.250
# DOS(E_F)   1.220 states/eV per atom
# Density   12.24 g/cm³
# Energy relative to the lowest polymorph listed for this composition   0.0 meV per atom
# Energy of formation from the pure elements   1.054 eV per atom
# Size of the total moment   0.00 μB per cell


No. 5
# NaMo2W, optimized geometry, DFT GGA-PBE
data_NaMo2W
_chemical_formula_sum 'Na4 Mo8 W4'
_cell_length_a 7.256
_cell_length_b 7.256
_cell_length_c 5.619
_cell_angle_alpha 90.00
_cell_angle_beta 90.00
_cell_angle_gamma 90.00
_space_group_name_H-M_alt 'I -4 2 d'
_space_group_IT_number 122
_space_group_name_Hall 'I -4 2bw'
loop_
_atom_site_label
_atom_site_type_symbol
_atom_site_fract_x
_atom_site_fract_y
_atom_site_fract_z
Na1 Na 0.000 0.000 0.000
Mo1 Mo 0.220 0.250 0.625
W1 W 0.000 0.000 0.500
# DOS(E_F)   1.033 states/eV per atom
# Density   8.95 g/cm³
# Energy relative to the lowest polymorph listed for this composition   477.4 meV per atom
# Energy of formation from the pure elements   1.374 eV per atom
# Size of the total moment   0.00 μB per cell


No. 6
# Na3MoW, optimized geometry, DFT GGA-PBE
data_Na3MoW
_chemical_formula_sum 'Na3 Mo1 W1'
_cell_length_a 5.098
_cell_length_b 5.098
_cell_length_c 5.098
_cell_angle_alpha 90.00
_cell_angle_beta 90.00
_cell_angle_gamma 90.00
_space_group_name_H-M_alt 'P m -3 m'
_space_group_IT_number 221
_space_group_name_Hall '-P 4 2 3'
loop_
_atom_site_label
_atom_site_type_symbol
_atom_site_fract_x
_atom_site_fract_y
_atom_site_fract_z
Na1 Na 0.000 0.000 0.500
Mo1 Mo 0.000 0.000 0.000
W1 W 0.500 0.500 0.500
# DOS(E_F)   3.479 states/eV per atom
# Density   4.37 g/cm³
# Energy of formation from the pure elements   3.018 eV per atom
# Size of the total moment   0.00 μB per cell